Entry 1:
! Cs4Pr3UTe8 GGA-PBE optimized geometry; values from VASP
&SYSTEM
  ibrav = 0, nat = 16, ntyp = 4
/
ATOMIC_SPECIES
Cs 132.91 Cs.upf
Pr 140.91 Pr.upf
U 238.03 U.upf
Te 127.60 Te.upf
CELL_PARAMETERS angstrom
9.3729 0.0000 0.0000
0.0000 10.4402 0.7579
-4.6865 -4.6885 6.6260
ATOMIC_POSITIONS crystal
Cs 0.5000 0.0000 0.0000
Cs 0.5000 0.0000 0.5000
Cs 0.0000 0.0000 0.0000
Cs 0.0000 0.0000 0.5000
Pr 0.5000 0.5000 0.0000
Pr 0.5000 0.5000 0.5000
Pr 0.0000 0.5000 0.5000
U 0.0000 0.5000 0.0000
Te 0.2292 0.6948 0.9656
Te 0.2293 0.6949 0.4585
Te 0.2676 0.3027 0.5351
Te 0.7364 0.6948 0.9656
Te 0.2636 0.3051 0.0344
Te 0.7324 0.6973 0.4649
Te 0.7707 0.3051 0.5415
Te 0.7708 0.3051 0.0344
! Formation energy (no corrections) ... -1.269 eV per atom


Entry 2:
! SrLiNb4N8 GGA-PBE optimized geometry; values from VASP
&SYSTEM
  ibrav = 0, nat = 14, ntyp = 4
/
ATOMIC_SPECIES
Sr 87.62 Sr.upf
Li 6.94 Li.upf
Nb 92.91 Nb.upf
N 14.01 N.upf
CELL_PARAMETERS angstrom
-1.2923 6.0528 1.6660
-5.9053 2.3561 -0.8110
-3.7335 1.1586 5.2239
ATOMIC_POSITIONS crystal
Sr 0.3746 0.3746 0.8761
Li 0.9974 0.9974 0.0078
Nb 0.6223 0.6223 0.1331
Nb 0.0037 0.4806 0.5119
Nb 0.4806 0.0037 0.5119
Nb 0.0037 0.0037 0.5119
N 0.2400 0.8176 0.7023
N 0.8176 0.2400 0.7023
N 0.2400 0.2400 0.7023
N 0.2319 0.2319 0.3044
N 0.7412 0.2483 0.2692
N 0.2483 0.7412 0.2692
N 0.7412 0.7412 0.2692
N 0.7572 0.7572 0.7285
! Formation energy (no corrections) ... -0.604 eV per atom


Entry 3:
! Ac3UTe6 GGA-PBE optimized geometry; values from VASP
&SYSTEM
  ibrav = 0, nat = 10, ntyp = 3
/
ATOMIC_SPECIES
Ac 227.00 Ac.upf
U 238.03 U.upf
Te 127.60 Te.upf
CELL_PARAMETERS angstrom
-6.1706 4.1872 -3.6193
-2.4839 -2.4597 -7.6117
-7.4212 -3.8095 -0.7554
ATOMIC_POSITIONS crystal
Ac 0.3032 0.2481 0.2481
Ac 0.6968 0.7519 0.7519
Ac 0.0000 0.0000 0.0000
U 0.5000 0.5000 0.5000
Te 0.3426 0.1666 0.6617
Te 0.6574 0.3383 0.8334
Te 0.6574 0.8334 0.3383
Te 0.3426 0.6617 0.1666
Te 0.1092 0.7382 0.7382
Te 0.8908 0.2618 0.2618
! Formation energy (no corrections) ... -1.156 eV per atom
! Energy above the most stable polymorph in this dataset ... 0.109 eV per atom


Entry 4:
! AcBiRu2 GGA-PBE optimized geometry; values from VASP
&SYSTEM
  ibrav = 0, nat = 4, ntyp = 3
/
ATOMIC_SPECIES
Ru 101.07 Ru.upf
Ac 227.00 Ac.upf
Bi 208.98 Bi.upf
CELL_PARAMETERS angstrom
3.7571 0.0000 0.0000
0.0000 4.7947 0.0000
0.0000 0.0000 4.7947
ATOMIC_POSITIONS crystal
Ru 0.0000 0.0000 0.5000
Ru 0.0000 0.5000 0.0000
Ac 0.5000 0.0000 0.0000
Bi 0.5000 0.5000 0.5000
! DFT formation energy ... 168 meV per atom


Entry 5:
! KPa2FeN5 GGA-PBE optimized geometry; values from VASP
&SYSTEM
  ibrav = 0, nat = 18, ntyp = 4
/
ATOMIC_SPECIES
K 39.10 K.upf
Pa 231.04 Pa.upf
Fe 55.84 Fe.upf
N 14.01 N.upf
CELL_PARAMETERS angstrom
6.6721 0.0000 0.0000
0.0000 6.6721 0.0000
-3.3360 -3.3360 5.5432
ATOMIC_POSITIONS crystal
K 0.2500 0.2500 0.5000
K 0.7500 0.7500 0.5000
Pa 0.1856 0.3144 0.0000
Pa 0.6856 0.1856 0.0000
Pa 0.3144 0.8144 0.0000
Pa 0.8144 0.6856 0.0000
Fe 0.2500 0.7500 0.5000
Fe 0.7500 0.2500 0.5000
N 0.9985 0.4985 0.2610
N 0.7375 0.2374 0.7390
N 0.0015 0.5015 0.7390
N 0.2374 0.0015 0.7390
N 0.5015 0.7375 0.7390
N 0.7625 0.9985 0.2610
N 0.4985 0.2626 0.2610
N 0.2626 0.7625 0.2610
N 0.5000 0.5000 0.0000
N 0.0000 0.0000 0.0000
! Formation energy (no corrections) ... -0.869 eV per atom


Entry 6:
! CsLaBr2Cl GGA-PBE optimized geometry; values from VASP
&SYSTEM
  ibrav = 0, nat = 5, ntyp = 4
/
ATOMIC_SPECIES
Cs 132.91 Cs.upf
Cl 35.45 Cl.upf
Br 79.90 Br.upf
La 138.91 La.upf
CELL_PARAMETERS angstrom
5.9625 0.0000 0.0000
0.0000 5.9625 0.0000
0.0000 0.0000 5.6389
ATOMIC_POSITIONS crystal
Cs 0.5000 0.5000 0.5000
Cl 0.0000 0.0000 0.5000
Br 0.0000 0.5000 0.0000
Br 0.5000 0.0000 0.0000
La 0.0000 0.0000 0.0000
! Formation energy (no corrections) ... -1.793 eV per atom


Entry 7:
! Ac3Mg9In2 GGA-PBE optimized geometry; values from VASP
&SYSTEM
  ibrav = 0, nat = 14, ntyp = 3
/
ATOMIC_SPECIES
Ac 227.00 Ac.upf
Mg 24.30 Mg.upf
In 114.82 In.upf
CELL_PARAMETERS angstrom
-1.7513 -3.0530 3.5719
7.4681 -2.2080 5.2944
-0.4152 5.2520 7.8053
ATOMIC_POSITIONS crystal
Ac 0.0000 0.0000 0.0000
Ac 0.6939 0.3061 0.3061
Ac 0.3061 0.6939 0.6939
Mg 0.0000 0.5000 0.5000
Mg 0.6626 0.9738 0.7009
Mg 0.3374 0.0262 0.2991
Mg 0.6626 0.7009 0.9738
Mg 0.3374 0.2991 0.0262
Mg 0.8705 0.8489 0.4101
Mg 0.1295 0.1511 0.5899
Mg 0.8705 0.4101 0.8489
Mg 0.1295 0.5899 0.1511
In 0.5000 0.2994 0.7006
In 0.5000 0.7006 0.2994
! DFT formation energy ... -138 meV per atom


Entry 8:
! Ho3Te2Se2 GGA-PBE optimized geometry; values from VASP
&SYSTEM
  ibrav = 0, nat = 7, ntyp = 3
/
ATOMIC_SPECIES
Ho 164.93 Ho.upf
Te 127.60 Te.upf
Se 78.96 Se.upf
CELL_PARAMETERS angstrom
4.1292 -0.0055 -0.0004
-2.0596 6.8348 -0.0450
-0.0058 -1.0800 7.2783
ATOMIC_POSITIONS crystal
Ho 0.0000 0.0000 0.0000
Ho 0.7535 0.5065 0.2439
Ho 0.2465 0.4935 0.7561
Te 0.8822 0.7649 0.6190
Te 0.1178 0.2351 0.3810
Se 0.6270 0.2539 0.8883
Se 0.3730 0.7461 0.1117
! Formation energy (no corrections) ... -1.629 eV per atom
! Energy above the most stable polymorph in this dataset ... 0.000 eV per atom


no.,theoretical density (g/cm3),DOS at the Fermi energy (states/eV per cell)
1,5.391,7.9
2,5.022,9.2
3,6.537,5.9
4,12.268,3.3
5,8.439,6.8
6,3.869,4.6
7,4.684,12.1
8,7.350,2.1